# Be2MoBr, relaxed, DFT PBE
data_Be2MoBr
_symmetry_space_group_name_H-M 'P 4/m m m'
_symmetry_Int_Tables_number 123
_symmetry_space_group_name_Hall '-P 4 2'
_cell_length_a 3.209
_cell_length_b 3.209
_cell_length_c 5.750
_cell_angle_alpha 90.00
_cell_angle_beta 90.00
_cell_angle_gamma 90.00
loop_
_atom_site_label
_atom_site_type_symbol
_atom_site_fract_x
_atom_site_fract_y
_atom_site_fract_z
Be1 Be 0.000 0.000 0.172
Mo1 Mo 0.500 0.500 0.000
Br1 Br 0.500 0.500 0.500
# size of the total moment	0.00	μB per formula unit
# ρ	5.4	Mg/m³
# distance to the lowest polymorph of the same formula	204	meV/atom